Density functional theory data (PBE with a Hubbard U) for crystalline SrFeI2O at its relaxed geometry.

ΔE to the lowest computed polymorph, kcal/mol of atoms: 0.00

Cell lengths 5.8501, 5.8501, 3.8944 Å; angles 90.00, 90.00, 90.00 degrees
Last column: nearest neighbours and their distance in Å.
Space group P4/mmm (No. 123)
Inequivalent atoms, fractional coordinates:
Sr1 0.0000 0.0000 0.0000 [1 per cell]  8 I 3.51, 2 Sr 3.89
Fe1 0.5000 0.5000 0.5000 [1 per cell]  2 O 1.95
I1 0.0000 0.5000 0.5000 [2 per cell]  2 Fe 2.93
O1 0.5000 0.5000 0.0000 [1 per cell]  2 Fe 1.95